## VCo2H (PBE)

Data for VCo2H after structural relaxation.

Space-group type ... R-3m (166)
Total magnetic moment ... 2.070 μB per formula unit
Energy above the most stable polymorph in this dataset ... 0.284 eV/atom
Electronic total energy ... -6.407 eV per atom

POSCAR file:
```
VCo2H
1.0
2.562 0.000 0.000
1.281 2.219 0.000
1.281 0.740 6.697
Co V H
2 1 1
Cartesian
3.844 2.219 2.254
1.281 0.740 4.443
0.000 0.000 0.000
2.562 1.479 3.348
```


## Ac8Ir3OsBr4 (PBE)

Data for Ac8Ir3OsBr4 after structural relaxation.

Space-group type ... C2/m (12)
Total magnetic moment ... 0.000 μB per formula unit
Energy relative to the elements, uncorrected ... -1.081 eV/atom
Electronic total energy ... -5.916 eV per atom

POSCAR file:
```
Ac8Ir3OsBr4
1.0
-1.018 -4.291 -7.506
9.553 -1.323 -0.539
-3.958 -2.845 7.212
Ac Ir Br Os
8 3 4 1
Cartesian
0.534 -3.093 1.696
4.579 -3.211 1.215
2.513 -1.641 -1.898
2.578 -4.649 4.861
1.999 -3.811 -5.693
4.043 -5.367 -2.528
-0.002 -5.249 -2.047
2.064 -6.818 1.066
2.289 -4.230 -0.416
2.797 -2.084 3.336
4.268 -2.807 -4.022
-1.979 -1.423 3.606
0.000 0.000 0.000
-2.488 -3.568 -0.147
-0.509 -2.145 -3.753
4.777 -0.662 -0.269
```


## CdW3 (PBE)

Data for CdW3 after structural relaxation.

DFT formation energy ... 0.536 eV/atom
Space-group type ... Immm (71)
Total magnetic moment ... 0.000 μB per formula unit
Energy above the most stable polymorph in this dataset ... 0.222 eV/atom
Electronic total energy ... -9.408 eV per atom

POSCAR file:
```
CdW3
1.0
5.365 -0.001 0.001
2.433 4.782 -0.001
-3.427 -3.160 2.655
W Cd
3 1
Cartesian
2.791 -0.463 1.328
3.899 2.390 0.000
1.580 2.084 1.327
0.000 0.000 0.000
```


## K3Rb3O (PBE)

Data for K3Rb3O after structural relaxation.

Space-group type ... Pnnm (58)
Total magnetic moment ... 0.000 μB per formula unit
Energy relative to the elements, uncorrected ... -0.417 eV/atom
Electronic total energy ... -2.011 eV per atom

POSCAR file:
```
K3Rb3O
1.0
5.899 0.000 0.000
0.000 19.570 0.000
0.000 0.000 14.870
Rb K O
12 12 4
Cartesian
0.000 10.876 2.294
0.000 2.549 8.616
0.000 12.045 7.367
2.949 7.236 1.181
2.949 18.479 9.729
0.000 8.694 12.576
0.000 7.525 7.503
2.949 17.310 14.802
2.949 2.260 0.068
2.949 12.334 13.689
2.949 1.091 5.141
0.000 17.021 6.254
0.000 15.601 1.684
2.949 13.424 5.218
2.949 13.755 9.119
2.949 9.670 5.792
2.949 9.901 9.078
2.949 6.147 9.652
0.000 19.455 1.643
0.000 3.970 13.186
0.000 3.639 2.217
0.000 0.115 13.227
0.000 15.932 12.653
2.949 5.816 5.751
0.000 17.463 14.752
2.949 11.892 7.317
0.000 2.107 0.118
2.949 7.678 7.553
```


## NdSm2DySe4 (PBE)

Data for NdSm2DySe4 after structural relaxation.

Space-group type ... P2/m (10)
Total magnetic moment ... 0.000 μB per formula unit
Energy relative to the elements, uncorrected ... -1.800 eV/atom
Electronic total energy ... -5.894 eV per atom

POSCAR file:
```
NdSm2DySe4
1.0
4.112 0.000 0.000
0.000 7.202 -0.168
0.000 2.513 6.837
Se Sm Nd Dy
4 2 1 1
Cartesian
2.056 3.700 5.030
2.056 6.016 1.640
0.000 7.271 4.957
4.112 2.444 1.713
0.000 2.513 6.837
2.056 1.257 3.419
2.056 6.115 6.754
0.000 4.858 3.335
```


## TaTlCr3 (PBE)

Data for TaTlCr3 after structural relaxation.

DFT formation energy ... 1.507 eV/atom
Space-group type ... Pm-3m (221)
Total magnetic moment ... 8.576 μB per formula unit
Energy above the most stable polymorph in this dataset ... 0.000 eV/atom
Electronic total energy ... -7.111 eV per atom

POSCAR file:
```
TaTlCr3
1.0
-4.723 0.224 0.814
-0.232 -4.792 -0.028
0.812 -0.067 4.728
Tl Cr Ta
1 3 1
Cartesian
-2.072 -2.317 2.758
0.406 -0.033 2.364
-0.116 -2.396 -0.014
-2.362 0.112 0.407
0.000 0.000 0.000
```


## Gd3LuO (PBE)

Data for Gd3LuO after structural relaxation.

Space-group type ... Pm-3m (221)
Total magnetic moment ... 21.929 μB per formula unit
Energy relative to the elements, uncorrected ... -1.096 eV/atom
Electronic total energy ... -11.440 eV per atom

POSCAR file:
```
Gd3LuO
1.0
4.968 0.000 0.000
0.000 4.968 0.000
0.000 0.000 4.968
Gd Lu O
3 1 1
Cartesian
0.000 2.484 0.000
0.000 0.000 2.484
2.484 0.000 0.000
2.484 2.484 2.484
0.000 0.000 0.000
```


## NpInBi (PBE)

Data for NpInBi after structural relaxation.

DFT formation energy ... 0.168 eV/atom
Space-group type ... P-6m2 (187)
Total magnetic moment ... 4.921 μB per formula unit
Energy above the most stable polymorph in this dataset ... 0.000 eV/atom
Electronic total energy ... -6.352 eV per atom

POSCAR file:
```
NpInBi
1.0
3.203 0.000 0.000
0.000 5.486 0.000
0.000 -2.743 4.751
Bi Np In
1 1 1
Cartesian
0.536 2.743 1.584
2.136 0.000 3.167
0.532 0.000 0.000
```


> Which value of total magnetic moment does entry 7 give?

21.929 μB per formula unit